{
  "formula": "Rb3Li2CoF9",
  "functional": "PBE+U",
  "state": "optimized geometry",
  "lattice": [[6.001, 0.000, 0.000], [-3.000, 5.197, 0.000], [0.000, 0.000, 7.570]],
  "species": ["Rb", "Rb", "Rb", "Li", "Li", "Co", "F", "F", "F", "F", "F", "F", "F", "F", "F"],
  "frac_coords": [[0.000, 0.000, 0.000], [0.333, 0.667, 0.677], [0.667, 0.333, 0.323], [0.333, 0.667, 0.082], [0.667, 0.333, 0.918], [0.000, 0.000, 0.500], [0.000, 0.500, 0.000], [0.143, 0.287, 0.363], [0.143, 0.857, 0.363], [0.287, 0.143, 0.637], [0.500, 0.000, 0.000], [0.500, 0.500, 0.000], [0.713, 0.857, 0.363], [0.857, 0.143, 0.637], [0.857, 0.713, 0.637]],
  "crystal_system": "trigonal",
  "m_tot_mub_per_fu": 0.94,
  "space_group": "P-3m1 (164)",
  "e_tot_ev_per_cell": -65.98,
  "mass_density_g_cm3": 3.5
}